# 1
## SbPt2Cl (meta-GGA SCAN)

Data for a PBEsol-optimized structure of SbPt2Cl.

The space group is Imm2 (No. 44) and the conventional cell measures 2.978, 4.231 and 11.737 Å, with angles of 90.00, 90.00 and 90.00 degrees. Symmetry generates all atoms from Sb at (0.000, 0.000, 0.000), Pt at (0.000, 0.000, 0.411), Pt at (0.000, 0.500, 0.705) and Cl at (0.000, 0.500, 0.211).

Its calculated volume is 147.9 Å³/cell. For the total energy, the calculation gives -370.044 eV for the cell shown. As for the uncorrected formation energy: 151 meV per atom. Its crystal system is orthorhombic.


# 2
## HfFeI2O (meta-GGA SCAN)

Data for a PBEsol-optimized structure of HfFeI2O.

The space group is P4/mmm (No. 123) and the conventional cell measures 5.307, 5.307 and 3.441 Å, with angles of 90.00, 90.00 and 90.00 degrees. Symmetry generates all atoms from Hf at (0.000, 0.000, 0.000), Fe at (0.500, 0.500, 0.500), I at (0.000, 0.500, 0.500) and O at (0.500, 0.500, 0.000).

Its calculated volume is 96.9 Å³/cell. For the total energy, the calculation gives -160.169 eV for the cell shown. As for the uncorrected formation energy: 70 meV per atom. Its crystal system is tetragonal.


# 3
## BaPAu (meta-GGA SCAN)

Data for a PBEsol-optimized structure of BaPAu.

The space group is P-6m2 (No. 187) and the conventional cell measures 4.3532, 4.3532 and 4.5657 Å, with angles of 90.00, 90.00 and 120.00 degrees. Symmetry generates all atoms from Ba at (0.0000, 0.0000, 0.0000), P at (0.3333, 0.6667, 0.5000) and Au at (0.6667, 0.3333, 0.5000).

Its calculated volume is 74.9 Å³/cell. For the total energy, the calculation gives -122.265 eV for the cell shown. Its crystal system is hexagonal. The value obtained for the formation energy is -1.05 eV per atom.